Material: Ho3Zn2Si3
Method: DFT, GGA-PBE
State: relaxed

Lattice parameters (Å, degrees): 5.7130 5.7130 14.0529 90.00 90.00 137.20
Sites, in units of the cell vectors:
Ho: 0.0741 0.9259 0.6153
Ho: 0.0741 0.9259 0.8847
Ho: 0.3614 0.6386 0.7500
Ho: 0.6386 0.3614 0.2500
Ho: 0.9259 0.0741 0.1153
Ho: 0.9259 0.0741 0.3847
Zn: 0.2190 0.7810 0.0945
Zn: 0.2190 0.7810 0.4055
Zn: 0.7810 0.2190 0.5945
Zn: 0.7810 0.2190 0.9055
Si: 0.3496 0.6504 0.2500
Si: 0.3931 0.6069 0.5408
Si: 0.3931 0.6069 0.9592
Si: 0.6069 0.3931 0.0408
Si: 0.6069 0.3931 0.4592
Si: 0.6504 0.3496 0.7500

Calculated values
Symmetry = No. 63
Energy relative to the elements, uncorrected = -57.9 kJ per mole of atoms
Magnetization = 0.073 μB per formula unit
Uncorrected energy = -4.67 eV/atom

---

Material: Ho2ZnSi
Method: DFT, GGA-PBE
State: relaxed

Lattice parameters (Å, degrees): 10.0403 10.0403 10.0403 20.98 20.98 20.98
Sites, in units of the cell vectors:
Ho: 0.1040 0.1040 0.1040
Ho: 0.8960 0.8960 0.8960
Zn: 0.0000 0.0000 0.0000
Si: 0.5000 0.5000 0.5000

Calculated values
Symmetry = No. 166
Energy relative to the elements, uncorrected = 7.6 kJ per mole of atoms
Magnetization = 0.000 μB per formula unit
Uncorrected energy = -3.88 eV/atom

---

Material: HoZnSi2
Method: DFT, GGA-PBE
State: relaxed

Lattice parameters (Å, degrees): 13.6273 4.1537 10.3687 90.00 90.00 90.00
Sites, in units of the cell vectors:
Ho: 0.0538 0.2500 0.2379
Ho: 0.1850 0.7500 0.9452
Ho: 0.3150 0.2500 0.4452
Ho: 0.4462 0.7500 0.7379
Ho: 0.5538 0.2500 0.2621
Ho: 0.6850 0.7500 0.5548
Ho: 0.8150 0.2500 0.0548
Ho: 0.9462 0.7500 0.7621
Zn: 0.0551 0.2500 0.5402
Zn: 0.2329 0.7500 0.6360
Zn: 0.2671 0.2500 0.1360
Zn: 0.4449 0.7500 0.0402
Zn: 0.5551 0.2500 0.9598
Zn: 0.7329 0.7500 0.8640
Zn: 0.7671 0.2500 0.3640
Zn: 0.9449 0.7500 0.4598
Si: 0.0222 0.2500 0.9550
Si: 0.1093 0.2500 0.7625
Si: 0.1332 0.7500 0.4403
Si: 0.2135 0.7500 0.2385
Si: 0.2865 0.2500 0.7385
Si: 0.3668 0.2500 0.9403
Si: 0.3907 0.7500 0.2625
Si: 0.4778 0.7500 0.4550
Si: 0.5222 0.2500 0.5450
Si: 0.6093 0.2500 0.7375
Si: 0.6332 0.7500 0.0597
Si: 0.7135 0.7500 0.2615
Si: 0.7865 0.2500 0.7615
Si: 0.8668 0.2500 0.5597
Si: 0.8907 0.7500 0.2375
Si: 0.9778 0.7500 0.0449

Calculated values
Symmetry = No. 62
Excess energy over the best structure of this formula in the dataset = 0.0000 eV per atom
Energy relative to the elements, uncorrected = -36.6 kJ per mole of atoms
Magnetization = 0.000 μB per formula unit
Uncorrected energy = -4.55 eV/atom

---

Material: Ho3Zn2Si4
Method: DFT, GGA-PBE
State: relaxed

Lattice parameters (Å, degrees): 5.6831 5.6831 8.0457 100.92 100.92 42.15
Sites, in units of the cell vectors:
Ho: 0.0000 0.0000 0.0000
Ho: 0.3351 0.3351 0.3288
Ho: 0.6649 0.6649 0.6712
Zn: 0.3890 0.3890 0.7208
Zn: 0.6110 0.6110 0.2792
Si: 0.0596 0.0596 0.3925
Si: 0.2805 0.2805 0.9470
Si: 0.7195 0.7195 0.0530
Si: 0.9404 0.9404 0.6075

Calculated values
Symmetry = No. 12
Energy relative to the elements, uncorrected = -61.3 kJ per mole of atoms
Magnetization = 0.000 μB per formula unit
Uncorrected energy = -4.85 eV/atom